First-principles (PBE+U) data for an optimized crystal structure of WAu3O, as listed in Alexandria via LeMat-Bulk.

a b c (Å): 4.518 4.518 4.518
angles (deg): 90.00 90.00 90.00
Space group Pm-3m (No. 221)
Symmetry-distinct sites (fractional):
W: 0.000 0.000 0.000 x1
Au: 0.000 0.500 0.500 x3
O: 0.500 0.500 0.500 x1

Computed properties:
Spin magnetization (μB/f.u.): 4.698
Relative energy among the computed polymorphs (eV/atom): 0.0000
Calculated volume (Å³/f.u.): 92.2